Entry 1:
Density functional theory data (PBE) for an optimized crystal structure of BaTbBi4Rh2.

Cell: 4.763 4.763 10.892 Å, 90.00 90.00 90.00°
Positions (direct):
Ba 0.000 0.000 0.000
Tb 0.000 0.000 0.500
Bi 0.000 0.500 0.260
Bi 0.000 0.500 0.740
Bi 0.500 0.000 0.260
Bi 0.500 0.000 0.740
Rh 0.500 0.500 0.381
Rh 0.500 0.500 0.619

Properties
Crystal system = tetragonal
Raw total energy = -4.968 eV/atom
SG = P4/mmm



Entry 2:
Density functional theory data (PBE) for an optimized crystal structure of BaBi2TeRh.

Cell: 5.196 5.196 6.384 Å, 90.00 90.00 90.00°
Positions (direct):
Ba 0.000 0.000 0.000
Bi 0.000 0.500 0.500
Bi 0.500 0.000 0.500
Te 0.500 0.500 0.000
Rh 0.000 0.000 0.500

Properties
Crystal system = tetragonal
SG = P4/mmm
ΔE_f (raw) = -0.37 eV/atom



| no. | density (Mg/m³) |
| --- | --- |
| 1 | 9.0 |
| 2 | 7.6 |